(1)
Density functional theory data (GGA-PBE) for a geometry-optimized DyHo7Sc12 structure.

Unit cell a=8.259 b=8.259 c=8.259 alpha=87.67 beta=87.67 gamma=87.67
Element x y z (fractional)
Dy: 0.000 0.000 0.000
Ho: 0.055 0.393 0.161
Ho: 0.161 0.055 0.393
Ho: 0.393 0.161 0.055
Ho: 0.500 0.500 0.500
Ho: 0.607 0.839 0.945
Ho: 0.839 0.945 0.607
Ho: 0.945 0.607 0.839
Sc: 0.133 0.624 0.494
Sc: 0.148 0.273 0.723
Sc: 0.273 0.723 0.148
Sc: 0.277 0.852 0.727
Sc: 0.376 0.506 0.867
Sc: 0.494 0.133 0.624
Sc: 0.506 0.867 0.376
Sc: 0.624 0.494 0.133
Sc: 0.723 0.148 0.273
Sc: 0.727 0.277 0.852
Sc: 0.852 0.727 0.277
Sc: 0.867 0.376 0.506

Calculated values
As for the space-group type: R-3, No. 148. The uncorrected energy is -108.2 eV for the cell shown. For the formation energy, the calculation gives 0.22 eV per atom. The total magnetic moment comes out at 0.01 μB per cell. The value obtained for the density of states at the Fermi level is 2.146 states/eV per atom. The calculation puts the theoretical density at 5.49 g cm⁻³.

(2)
Density functional theory data (GGA-PBE) for a geometry-optimized DyHo4Sc3 structure.

Unit cell a=11.812 b=6.873 c=5.940 alpha=90.00 beta=109.45 gamma=90.00
Element x y z (fractional)
Dy: 0.000 0.000 0.000
Dy: 0.500 0.500 0.000
Ho: 0.248 0.500 0.495
Ho: 0.250 0.250 0.000
Ho: 0.250 0.750 0.000
Ho: 0.252 0.000 0.505
Ho: 0.748 0.000 0.495
Ho: 0.750 0.250 0.000
Ho: 0.750 0.750 0.000
Ho: 0.752 0.500 0.505
Sc: 0.000 0.253 0.500
Sc: 0.000 0.500 0.000
Sc: 0.000 0.747 0.500
Sc: 0.500 0.000 0.000
Sc: 0.500 0.247 0.500
Sc: 0.500 0.753 0.500

Calculated values
As for the space-group type: C2/m, No. 12. The uncorrected energy is -83.0 eV for the cell shown. For the formation energy, the calculation gives 0.05 eV per atom. The total magnetic moment comes out at 0.00 μB per cell. The value obtained for the excess energy over the best structure of this formula in the dataset is 0.22 eV/f.u. The value obtained for the density of states at the Fermi level is 1.519 states/eV per atom. The calculation puts the theoretical density at 6.99 g cm⁻³.

(3)
Density functional theory data (GGA-PBE) for a geometry-optimized DyHo12Sc6 structure.

Unit cell a=9.006 b=9.006 c=9.006 alpha=109.47 beta=109.47 gamma=109.47
Element x y z (fractional)
Dy: 0.000 0.000 0.000
Ho: 0.070 0.804 0.266
Ho: 0.196 0.266 0.463
Ho: 0.196 0.734 0.930
Ho: 0.266 0.070 0.804
Ho: 0.266 0.463 0.196
Ho: 0.463 0.196 0.266
Ho: 0.537 0.804 0.734
Ho: 0.734 0.537 0.804
Ho: 0.734 0.930 0.196
Ho: 0.804 0.266 0.070
Ho: 0.804 0.734 0.537
Ho: 0.930 0.196 0.734
Sc: 0.138 0.638 0.500
Sc: 0.362 0.500 0.862
Sc: 0.500 0.138 0.638
Sc: 0.500 0.862 0.362
Sc: 0.638 0.500 0.138
Sc: 0.862 0.362 0.500

Calculated values
As for the space-group type: Im-3, No. 204. The uncorrected energy is -93.0 eV for the cell shown. For the formation energy, the calculation gives 0.24 eV per atom. The total magnetic moment comes out at 0.00 μB per cell. The value obtained for the excess energy over the best structure of this formula in the dataset is 0.00 eV/f.u. The value obtained for the density of states at the Fermi level is 1.500 states/eV per atom. The calculation puts the theoretical density at 7.12 g cm⁻³.

(4)
Density functional theory data (GGA-PBE) for a geometry-optimized DyHo6Sc4 structure.

Unit cell a=10.522 b=10.522 c=3.414 alpha=90.00 beta=90.00 gamma=120.00
Element x y z (fractional)
Dy: 0.000 0.000 0.000
Ho: 0.047 0.523 0.000
Ho: 0.367 0.184 0.500
Ho: 0.477 0.523 0.000
Ho: 0.477 0.953 0.000
Ho: 0.816 0.184 0.500
Ho: 0.816 0.633 0.500
Sc: 0.159 0.318 0.500
Sc: 0.159 0.841 0.500
Sc: 0.667 0.333 0.000
Sc: 0.682 0.841 0.500

Calculated values
As for the space-group type: P-6m2, No. 187. The uncorrected energy is -55.6 eV for the cell shown. For the formation energy, the calculation gives 0.16 eV per atom. The total magnetic moment comes out at 0.00 μB per cell. The value obtained for the excess energy over the best structure of this formula in the dataset is 0.00 eV/f.u. The value obtained for the density of states at the Fermi level is 1.676 states/eV per atom. The calculation puts the theoretical density at 6.76 g cm⁻³.

(5)
Density functional theory data (GGA-PBE) for a geometry-optimized DyHoSc2 structure.

Unit cell a=3.416 b=3.416 c=10.918 alpha=90.00 beta=90.00 gamma=120.00
Element x y z (fractional)
Dy: 0.000 0.000 0.000
Ho: 0.000 0.000 0.500
Sc: 0.333 0.667 0.750
Sc: 0.667 0.333 0.250

Calculated values
As for the space-group type: P-3m1, No. 164. The uncorrected energy is -21.7 eV for the cell shown. For the formation energy, the calculation gives 0.04 eV per atom. The total magnetic moment comes out at 0.00 μB per cell. The value obtained for the excess energy over the best structure of this formula in the dataset is 0.00 eV/f.u. The value obtained for the density of states at the Fermi level is 1.632 states/eV per atom. The calculation puts the theoretical density at 6.28 g cm⁻³.

(6)
Density functional theory data (GGA-PBE) for a geometry-optimized Dy6Ho3Sc structure.

Unit cell a=6.808 b=6.808 c=6.808 alpha=90.69 beta=90.69 gamma=90.69
Element x y z (fractional)
Dy: 0.001 0.677 0.322
Dy: 0.164 0.507 0.828
Dy: 0.322 0.001 0.677
Dy: 0.507 0.828 0.164
Dy: 0.677 0.322 0.001
Dy: 0.828 0.164 0.507
Ho: 0.153 0.153 0.153
Ho: 0.400 0.400 0.400
Ho: 0.660 0.660 0.660
Sc: 0.903 0.903 0.903

Calculated values
As for the space-group type: R3, No. 146. The uncorrected energy is -45.2 eV for the cell shown. For the formation energy, the calculation gives 0.24 eV per atom. The total magnetic moment comes out at 0.04 μB per cell. The value obtained for the excess energy over the best structure of this formula in the dataset is 1.01 eV/f.u. The value obtained for the density of states at the Fermi level is 1.985 states/eV per atom. The calculation puts the theoretical density at 7.97 g cm⁻³.

(7)
Density functional theory data (GGA-PBE) for a geometry-optimized Dy4Ho15Sc structure.

Unit cell a=4.974 b=4.974 c=24.833 alpha=90.00 beta=90.00 gamma=90.00
Element x y z (fractional)
Dy: 0.000 0.000 0.101
Dy: 0.000 0.000 0.302
Dy: 0.000 0.000 0.698
Dy: 0.000 0.000 0.899
Ho: 0.000 0.500 0.000
Ho: 0.000 0.500 0.202
Ho: 0.000 0.500 0.403
Ho: 0.000 0.500 0.597
Ho: 0.000 0.500 0.798
Ho: 0.500 0.000 0.000
Ho: 0.500 0.000 0.202
Ho: 0.500 0.000 0.403
Ho: 0.500 0.000 0.597
Ho: 0.500 0.000 0.798
Ho: 0.500 0.500 0.101
Ho: 0.500 0.500 0.302
Ho: 0.500 0.500 0.500
Ho: 0.500 0.500 0.698
Ho: 0.500 0.500 0.899
Sc: 0.000 0.000 0.500

Calculated values
As for the space-group type: P4/mmm, No. 123. The uncorrected energy is -92.9 eV for the cell shown. For the formation energy, the calculation gives 0.02 eV per atom. The total magnetic moment comes out at 0.00 μB per cell. The value obtained for the density of states at the Fermi level is 1.327 states/eV per atom. The calculation puts the theoretical density at 8.57 g cm⁻³.

(8)
Density functional theory data (GGA-PBE) for a geometry-optimized Dy4HoSc4 structure.

Unit cell a=7.638 b=7.638 c=7.638 alpha=95.72 beta=95.72 gamma=143.20
Element x y z (fractional)
Dy: 0.000 0.329 0.329
Dy: 0.000 0.671 0.671
Dy: 0.329 0.000 0.329
Dy: 0.671 0.000 0.671
Ho: 0.000 0.000 0.000
Sc: 0.334 0.334 0.667
Sc: 0.334 0.666 0.000
Sc: 0.666 0.334 0.000
Sc: 0.666 0.666 0.333

Calculated values
As for the space-group type: I4/mmm, No. 139. The uncorrected energy is -47.8 eV for the cell shown. For the formation energy, the calculation gives 0.05 eV per atom. The total magnetic moment comes out at 0.00 μB per cell. The value obtained for the density of states at the Fermi level is 1.523 states/eV per atom. The calculation puts the theoretical density at 6.52 g cm⁻³.

(9)
Density functional theory data (GGA-PBE) for a geometry-optimized Dy4HoSc3 structure.

Unit cell a=10.893 b=7.017 c=6.065 alpha=90.00 beta=90.00 gamma=90.00
Element x y z (fractional)
Dy: 0.000 0.131 0.000
Dy: 0.000 0.868 0.508
Dy: 0.246 0.132 0.345
Dy: 0.254 0.868 0.845
Dy: 0.500 0.132 0.008
Dy: 0.500 0.869 0.500
Dy: 0.746 0.868 0.845
Dy: 0.754 0.132 0.345
Ho: 0.000 0.618 0.013
Ho: 0.500 0.382 0.513
Sc: 0.000 0.381 0.512
Sc: 0.249 0.619 0.341
Sc: 0.251 0.381 0.841
Sc: 0.500 0.619 0.012
Sc: 0.749 0.381 0.841
Sc: 0.751 0.619 0.341

Calculated values
As for the space-group type: Pmn2_1, No. 31. The uncorrected energy is -83.5 eV for the cell shown. For the formation energy, the calculation gives 0.03 eV per atom. The total magnetic moment comes out at 0.01 μB per cell. The value obtained for the excess energy over the best structure of this formula in the dataset is 0.00 eV/f.u. The value obtained for the density of states at the Fermi level is 1.870 states/eV per atom. The calculation puts the theoretical density at 6.80 g cm⁻³.